# PmNd4Te4 | the Alexandria database | PBE | optimized geometry
# Formation energy from raw total energies (eV/atom): -0.8514
# N(E_F) (states/eV per atom): 1.26
# Magnetic moment (μB per formula unit): 0.00
# Theoretical density (g/cm³): 6.18
# Uncorrected energy (eV for the cell shown): -88.102
data_PmNd4Te4
_chemical_formula_sum 'Pm2 Nd8 Te8'
_cell_length_a 8.070
_cell_length_b 8.070
_cell_length_c 10.175
_cell_angle_alpha 90.00
_cell_angle_beta 90.00
_cell_angle_gamma 90.00
_symmetry_space_group_name_H-M 'I -4 2 m'
_symmetry_Int_Tables_number 121
_symmetry_space_group_name_Hall 'I -4 2'
loop_
_atom_site_label
_atom_site_type_symbol
_atom_site_fract_x
_atom_site_fract_y
_atom_site_fract_z
Pm1 Pm 0.000 0.000 0.000
Nd1 Nd 0.000 0.000 0.328
Nd2 Nd 0.000 0.500 0.000
Te1 Te 0.232 0.232 0.860



# PaF5 | the Alexandria database | PBE | optimized geometry
# Formation energy from raw total energies (eV/atom): -3.4059
# N(E_F) (states/eV per atom): 0.00
# Magnetic moment (μB per formula unit): 0.00
# Theoretical density (g/cm³): 7.38
# Energy above the lowest structure with this stoichiometry (kJ/mol of formula units): 159.4
# Uncorrected energy (eV for the cell shown): -78.575
data_PaF5
_chemical_formula_sum 'Pa2 F10'
_cell_length_a 3.734
_cell_length_b 10.551
_cell_length_c 3.722
_cell_angle_alpha 90.00
_cell_angle_beta 90.00
_cell_angle_gamma 90.00
_symmetry_space_group_name_H-M 'C m m m'
_symmetry_Int_Tables_number 65
_symmetry_space_group_name_Hall '-C 2 2'
loop_
_atom_site_label
_atom_site_type_symbol
_atom_site_fract_x
_atom_site_fract_y
_atom_site_fract_z
Pa1 Pa 0.000 0.000 0.000
F1 F 0.000 0.130 0.500
F2 F 0.000 0.369 0.000
F3 F 0.000 0.500 0.500



# Tl2Pt2Pb | the Alexandria database | PBE | optimized geometry
# N(E_F) (states/eV per atom): 0.69
# Magnetic moment (μB per formula unit): 0.00
# ΔE_f (eV per atom): 0.019
# Theoretical density (g/cm³): 14.96
# Energy above the lowest structure with this stoichiometry (kJ/mol of formula units): 0.0
# Uncorrected energy (eV for the cell shown): -40.852
data_Tl2Pt2Pb
_chemical_formula_sum 'Tl4 Pt4 Pb2'
_cell_length_a 7.872
_cell_length_b 7.872
_cell_length_c 3.605
_cell_angle_alpha 90.00
_cell_angle_beta 90.00
_cell_angle_gamma 90.00
_symmetry_space_group_name_H-M 'P 4/m b m'
_symmetry_Int_Tables_number 127
_symmetry_space_group_name_Hall '-P 4 2ab'
loop_
_atom_site_label
_atom_site_type_symbol
_atom_site_fract_x
_atom_site_fract_y
_atom_site_fract_z
Tl1 Tl 0.165 0.335 0.000
Pt1 Pt 0.131 0.631 0.500
Pb1 Pb 0.000 0.000 0.500



# Na3UO4 | the Alexandria database | PBE | optimized geometry
# Formation energy from raw total energies (eV/atom): -2.3855
# N(E_F) (states/eV per atom): 0.35
# Magnetic moment (μB per formula unit): 1.00
# Theoretical density (g/cm³): 5.48
# Energy above the lowest structure with this stoichiometry (kJ/mol of formula units): 11.6
# Uncorrected energy (eV for the cell shown): -108.325
data_Na3UO4
_chemical_formula_sum 'Na6 U2 O8'
_cell_length_a 6.817
_cell_length_b 9.427
_cell_length_c 3.496
_cell_angle_alpha 90.00
_cell_angle_beta 90.00
_cell_angle_gamma 90.00
_symmetry_space_group_name_H-M 'C m m m'
_symmetry_Int_Tables_number 65
_symmetry_space_group_name_Hall '-C 2 2'
loop_
_atom_site_label
_atom_site_type_symbol
_atom_site_fract_x
_atom_site_fract_y
_atom_site_fract_z
Na1 Na 0.000 0.000 0.000
Na2 Na 0.250 0.250 0.500
U1 U 0.000 0.500 0.000
O1 O 0.000 0.285 0.000
O2 O 0.215 0.500 0.500



Question: Which value of theoretical density does entry 1 give?
Answer: 6.18 g/cm³